1.
TePtPbO, relaxed, DFT PBE; distance to the lowest polymorph of the same formula = 271 meV per atom; density = 10.04 g cm⁻³
1.0
6.8029 0.0000 0.0000
0.0000 11.1491 0.0000
0.0000 0.0000 9.5260
Te Pt Pb O
8 8 8 8
Direct
0.9998 0.0550 0.2493
0.9998 0.4450 0.7493
0.0002 0.5550 0.2507
0.0002 0.9450 0.7507
0.4998 0.0550 0.2507
0.4998 0.4450 0.7507
0.5002 0.5550 0.2493
0.5002 0.9450 0.7493
0.0012 0.1992 0.7500
0.0012 0.3008 0.2500
0.4988 0.6992 0.7500
0.4988 0.8008 0.2500
0.5012 0.1992 0.7500
0.5012 0.3008 0.2500
0.9988 0.6992 0.7500
0.9988 0.8008 0.2500
0.2486 0.6384 0.9843
0.2486 0.8616 0.4843
0.2514 0.1384 0.9843
0.2514 0.3616 0.4843
0.7486 0.6384 0.5157
0.7486 0.8616 0.0157
0.7514 0.1384 0.5157
0.7514 0.3616 0.0157
0.2491 0.6939 0.6276
0.2491 0.8061 0.1276
0.2509 0.1939 0.6276
0.2509 0.3061 0.1276
0.7491 0.6939 0.8724
0.7491 0.8061 0.3724
0.7509 0.1939 0.8724
0.7509 0.3061 0.3724

***

2.
ZrCd2Te, relaxed, DFT PBE; raw total energy = -53.77 eV per cell; density = 7.95 g cm⁻³
1.0
7.1823 0.0000 0.0000
0.0000 7.1823 0.0000
0.0000 0.0000 7.1823
Zr Cd Te
4 8 4
Direct
0.0000 0.0000 0.0000
0.0000 0.5000 0.5000
0.5000 0.0000 0.5000
0.5000 0.5000 0.0000
0.0000 0.0000 0.5000
0.0000 0.5000 0.0000
0.2500 0.2500 0.2500
0.2500 0.7500 0.7500
0.5000 0.0000 0.0000
0.5000 0.5000 0.5000
0.7500 0.2500 0.7500
0.7500 0.7500 0.2500
0.2500 0.2500 0.7500
0.2500 0.7500 0.2500
0.7500 0.2500 0.2500
0.7500 0.7500 0.7500

***

3.
GdDy2Se3, relaxed, DFT PBE; raw total energy = -34.89 eV per cell; density = 8.30 g cm⁻³
1.0
4.0717 0.0000 0.0000
-2.0358 3.5262 0.0000
0.0000 0.0000 10.0253
Gd Dy Se
1 2 3
Direct
0.0000 0.0000 0.0000
0.3333 0.6667 0.6663
0.6667 0.3333 0.3337
0.0000 0.0000 0.5000
0.3333 0.6667 0.1699
0.6667 0.3333 0.8301

***

4.
ThSiTc, relaxed, DFT PBE; distance to the lowest polymorph of the same formula = 0 meV per atom; density = 9.46 g cm⁻³
1.0
4.3050 0.0000 0.0000
0.0000 4.3050 0.0000
0.0000 0.0000 6.7846
Th Si Tc
2 2 2
Direct
0.2500 0.2500 0.1866
0.7500 0.7500 0.8134
0.2500 0.2500 0.6870
0.7500 0.7500 0.3130
0.2500 0.7500 0.5000
0.7500 0.2500 0.5000

***

5.
Y2HoS3, relaxed, DFT PBE; raw total energy = -41.83 eV per cell; density = 5.79 g cm⁻³
1.0
3.8996 0.0000 0.0000
-1.9498 3.3772 0.0000
0.0000 0.0000 9.5659
Y Ho S
2 1 3
Direct
0.3333 0.6667 0.1671
0.6667 0.3333 0.8329
0.0000 0.0000 0.5000
0.0000 0.0000 0.0000
0.3333 0.6667 0.6642
0.6667 0.3333 0.3358

***

6.
SrTaNO2, relaxed, DFT PBE; raw total energy = -175.11 eV per cell; density = 7.97 g cm⁻³
1.0
5.7403 0.0000 0.0000
-0.0748 5.7432 0.0000
-0.0064 -0.0052 7.9511
Sr Ta N O
4 4 4 8
Direct
0.0000 0.0000 0.0000
0.0080 0.9933 0.4995
0.5100 0.5059 0.9966
0.5197 0.5029 0.4966
0.0056 0.4866 0.7478
0.0282 0.4962 0.2456
0.4960 0.9966 0.2474
0.5053 0.0181 0.7463
0.2585 0.2506 0.2358
0.2606 0.2485 0.7500
0.2689 0.7506 0.2811
0.7606 0.2587 0.7809
0.0433 0.5588 0.9930
0.2795 0.7455 0.7005
0.4932 0.9506 0.9930
0.5570 0.0467 0.4931
0.7555 0.2692 0.2008
0.7742 0.7690 0.2494
0.7793 0.7636 0.7346
0.9724 0.4662 0.4928

***

7.
UGaFe, relaxed, DFT PBE; raw total energy = -69.77 eV per cell; density = 12.30 g cm⁻³
1.0
6.5495 0.0000 0.0000
-3.2747 5.6720 0.0000
0.0000 0.0000 3.9637
U Ga Fe
3 3 3
Direct
0.0000 0.5771 0.0000
0.4229 0.4229 0.0000
0.5771 0.0000 0.0000
0.0000 0.2369 0.5000
0.2369 0.0000 0.5000
0.7631 0.7631 0.5000
0.0000 0.0000 0.0000
0.3333 0.6667 0.5000
0.6667 0.3333 0.5000

***

8.
AcDyAsO, relaxed, DFT PBE; distance to the lowest polymorph of the same formula = 423 meV per atom; density = 8.49 g cm⁻³
1.0
4.5566 0.0000 0.0000
0.0000 4.5566 0.0000
0.0000 0.0000 9.0549
Ac Dy As O
2 2 2 2
Direct
0.2500 0.7500 0.0000
0.7500 0.2500 0.0000
0.2500 0.2500 0.4254
0.7500 0.7500 0.5746
0.2500 0.2500 0.7698
0.7500 0.7500 0.2302
0.2500 0.7500 0.5000
0.7500 0.2500 0.5000